No. 1
Computed, not measured: a geometry-optimized Ba2PuTl3S6 structure at the PBE level of DFT.

Results
VASP energy, eV per atom: -5.353
Uncorrected formation energy, eV/f.u.: -14.20
N(E_F), states/eV per cell: 19.36

a = 7.6815 Å, b = 13.2992 Å, c = 7.6500 Å
α = 90.00°, β = 108.97°, γ = 90.00°
Space group C2/m (No. 12)
Inequivalent atoms, fractional coordinates:
1 Ba 0.0000 0.1669 0.0000
2 Pu 0.0000 0.5000 0.0000
3 Tl 0.0000 0.0000 0.5000
4 Tl 0.0000 0.3435 0.5000
5 S 0.2100 0.3605 0.2072
6 S 0.2140 0.5000 0.7794

=====

No. 2
Computed, not measured: a geometry-optimized Ba2PuTlS5 structure at the PBE level of DFT.

Results
VASP energy, eV per atom: -6.006
Uncorrected formation energy, eV/f.u.: -12.88
N(E_F), states/eV per cell: 44.71

a = 4.2452 Å, b = 20.2327 Å, c = 11.6508 Å
α = 90.00°, β = 90.00°, γ = 90.00°
Space group Cmcm (No. 63)
Inequivalent atoms, fractional coordinates:
1 Ba 0.0000 0.1202 0.0379
2 Pu 0.0000 0.2280 0.7500
3 Tl 0.0000 0.4869 0.2500
4 S 0.0000 0.0982 0.7500
5 S 0.0000 0.2809 0.1062
6 S 0.0000 0.3605 0.7500
7 S 0.0000 0.5000 0.0000

=====

No. 3
Computed, not measured: a geometry-optimized Ba2TmPuS6 structure at the PBE level of DFT.

Results
VASP energy, eV per atom: -6.523
Uncorrected formation energy, eV/f.u.: -17.82
N(E_F), states/eV per cell: 18.63

a = 7.1795 Å, b = 7.4007 Å, c = 12.5422 Å
α = 90.00°, β = 124.89°, γ = 90.00°
Space group P2_1/c (No. 14)
Inequivalent atoms, fractional coordinates:
1 Ba 0.2346 0.0569 0.2492
2 Tm 0.0000 0.0000 0.5000
3 Pu 0.5000 0.0000 0.0000
4 S 0.1688 0.2037 0.9594
5 S 0.2572 0.7101 0.9591
6 S 0.3304 0.0157 0.7533